Record 1
Density functional theory data (PBE-GGA) for a relaxed CsCo2PdBr8 crystal.

Geometry as POSCAR:
```
CsCo2PdBr8
1.0
-0.428 -4.689 4.726
5.281 -1.354 3.845
-1.473 5.055 9.592
Cs Co Pd Br
1 2 1 8
Direct
0.500 0.500 0.500 Cs
0.261 0.261 0.218 Co
0.739 0.739 0.782 Co
0.000 0.000 0.000 Pd
0.185 0.185 0.446 Br
0.629 0.265 0.152 Br
0.815 0.815 0.554 Br
0.954 0.629 0.152 Br
0.046 0.371 0.848 Br
0.265 0.954 0.152 Br
0.735 0.046 0.848 Br
0.371 0.735 0.848 Br
```

Values from the calculation:
Calculated volume ... 32.9 A^3/atom
Final energy ... -3.347 eV per atom
Space-group type ... R-3 (148)
Formation energy without anion corrections ... -0.54 eV/atom
Total magnetic moment ... 4.93 Bohr magnetons per cell

Record 2
Density functional theory data (PBE-GGA) for a relaxed CsPmCoBr6 crystal.

Geometry as POSCAR:
```
CsPmCoBr6
1.0
7.202 -0.004 -0.009
3.597 6.231 -0.018
-0.011 -0.019 8.134
Cs Pm Co Br
1 1 1 6
Direct
0.000 0.000 0.000 Cs
0.667 0.666 0.500 Pm
0.334 0.333 0.500 Co
0.027 0.368 0.303 Br
0.361 0.028 0.693 Br
0.612 0.361 0.692 Br
0.027 0.605 0.697 Br
0.361 0.612 0.307 Br
0.612 0.027 0.308 Br
```

Values from the calculation:
Calculated volume ... 40.6 A^3/atom
Final energy ... -3.845 eV per atom
Space-group type ... C2 (5)
Formation energy without anion corrections ... -1.32 eV/atom
Total magnetic moment ... 3.00 Bohr magnetons per cell

Record 3
Density functional theory data (PBE-GGA) for a relaxed CsCoPtBr6 crystal.

Geometry as POSCAR:
```
CsCoPtBr6
1.0
6.501 0.441 -0.187
3.631 6.296 -0.354
-0.226 -0.371 8.079
Cs Co Pt Br
1 1 1 6
Direct
0.112 0.944 0.000 Cs
0.333 0.333 0.500 Co
0.652 0.674 0.500 Pt
0.995 0.377 0.322 Br
0.337 0.038 0.636 Br
0.620 0.313 0.707 Br
0.997 0.626 0.678 Br
0.335 0.626 0.364 Br
0.618 0.068 0.293 Br
```

Values from the calculation:
Calculated volume ... 35.2 A^3/atom
Final energy ... -3.194 eV per atom
Space-group type ... P1 (1)
Formation energy without anion corrections ... -0.52 eV/atom
Total magnetic moment ... 0.00 Bohr magnetons per cell

Record 4
Density functional theory data (PBE-GGA) for a relaxed Cs2PuCoBr6 crystal.

Geometry as POSCAR:
```
Cs2PuCoBr6
1.0
-0.177 -1.853 6.353
7.838 1.167 0.558
-5.024 5.943 1.594
Cs Pu Co Br
2 1 1 6
Direct
0.238 0.333 0.667 Cs
0.762 0.667 0.333 Cs
0.500 0.000 0.000 Pu
0.000 0.000 0.000 Co
0.774 0.162 0.325 Br
0.774 0.162 0.838 Br
0.774 0.675 0.838 Br
0.226 0.838 0.162 Br
0.226 0.325 0.162 Br
0.226 0.838 0.675 Br
```

Values from the calculation:
Calculated volume ... 36.2 A^3/atom
Final energy ... -4.640 eV per atom
Space-group type ... P-3m1 (164)
Formation energy without anion corrections ... -1.32 eV/atom
Total magnetic moment ... 7.38 Bohr magnetons per cell

Record 5
Density functional theory data (PBE-GGA) for a relaxed CsPuCo2Br8 crystal.

Geometry as POSCAR:
```
CsPuCo2Br8
1.0
6.893 0.000 0.000
3.446 5.969 0.000
3.446 1.990 10.525
Cs Pu Co Br
1 1 2 8
Direct
0.500 0.500 0.500 Cs
0.000 0.000 0.000 Pu
0.254 0.254 0.238 Co
0.746 0.746 0.762 Co
0.180 0.180 0.459 Br
0.609 0.282 0.163 Br
0.820 0.820 0.541 Br
0.946 0.609 0.163 Br
0.054 0.391 0.837 Br
0.282 0.946 0.163 Br
0.718 0.054 0.837 Br
0.391 0.718 0.837 Br
```

Values from the calculation:
Calculated volume ... 36.1 A^3/atom
Final energy ... -4.512 eV per atom
Space-group type ... R-3 (148)
Formation energy without anion corrections ... -0.95 eV/atom
Total magnetic moment ... 1.00 Bohr magnetons per cell

Record 6
Density functional theory data (PBE-GGA) for a relaxed Cs3Rb3CoBr8 crystal.

Geometry as POSCAR:
```
Cs3Rb3CoBr8
1.0
9.822 0.000 0.000
-4.911 8.505 -0.030
0.000 -5.640 8.259
Cs Rb Co Br
3 3 1 8
Direct
0.000 0.000 0.000 Cs
0.000 0.500 0.000 Cs
0.500 0.500 0.000 Cs
0.500 0.000 0.500 Rb
0.500 0.500 0.500 Rb
0.000 0.500 0.500 Rb
0.000 0.000 0.500 Co
0.255 0.510 0.265 Br
0.745 0.490 0.735 Br
0.808 0.615 0.315 Br
0.192 0.385 0.685 Br
0.808 0.007 0.315 Br
0.192 0.993 0.685 Br
0.199 0.007 0.315 Br
0.801 0.993 0.685 Br
```

Values from the calculation:
Calculated volume ... 45.9 A^3/atom
Final energy ... -3.161 eV per atom
Space-group type ... R-3m (166)
Formation energy without anion corrections ... -1.43 eV/atom
Total magnetic moment ... 3.00 Bohr magnetons per cell

Record 7
Density functional theory data (PBE-GGA) for a relaxed CsCoRuBr6 crystal.

Geometry as POSCAR:
```
CsCoRuBr6
1.0
6.490 0.000 0.000
3.245 5.621 0.000
0.000 0.000 8.304
Cs Co Ru Br
1 1 1 6
Direct
0.000 0.000 0.000 Cs
0.667 0.667 0.500 Co
0.333 0.333 0.500 Ru
0.991 0.365 0.335 Br
0.365 0.991 0.665 Br
0.643 0.365 0.665 Br
0.991 0.643 0.665 Br
0.365 0.643 0.335 Br
0.643 0.991 0.335 Br
```

Values from the calculation:
Calculated volume ... 33.7 A^3/atom
Final energy ... -3.602 eV per atom
Space-group type ... P312 (149)
Formation energy without anion corrections ... -0.57 eV/atom
Total magnetic moment ... 0.09 Bohr magnetons per cell

Record 8
Density functional theory data (PBE-GGA) for a relaxed CsCoSb2Br crystal.

Geometry as POSCAR:
```
CsCoSb2Br
1.0
4.803 0.000 0.000
0.000 9.729 0.000
0.000 0.000 4.803
Cs Sb Co Br
1 2 1 1
Direct
0.500 0.500 0.500 Cs
0.000 0.000 0.500 Sb
0.500 0.000 0.000 Sb
0.000 0.000 0.000 Co
0.000 0.500 0.000 Br
```

Values from the calculation:
Calculated volume ... 44.9 A^3/atom
Final energy ... -3.812 eV per atom
Space-group type ... P4/mmm (123)
Formation energy without anion corrections ... -0.24 eV/atom
Total magnetic moment ... 0.00 Bohr magnetons per cell

Record 9
Density functional theory data (PBE-GGA) for a relaxed CsCo2SbBr8 crystal.

Geometry as POSCAR:
```
CsCo2SbBr8
1.0
6.866 0.000 0.000
3.433 5.946 0.000
3.433 1.982 10.561
Cs Co Sb Br
1 2 1 8
Direct
0.500 0.500 0.500 Cs
0.257 0.257 0.229 Co
0.743 0.743 0.771 Co
0.000 0.000 0.000 Sb
0.183 0.183 0.450 Br
0.612 0.285 0.159 Br
0.817 0.817 0.550 Br
0.944 0.612 0.159 Br
0.056 0.388 0.841 Br
0.285 0.944 0.159 Br
0.715 0.056 0.841 Br
0.388 0.715 0.841 Br
```

Values from the calculation:
Calculated volume ... 35.9 A^3/atom
Final energy ... -3.353 eV per atom
Space-group type ... R-3 (148)
Formation energy without anion corrections ... -0.64 eV/atom
Total magnetic moment ... 6.00 Bohr magnetons per cell

Record 10
Density functional theory data (PBE-GGA) for a relaxed Cs2CoSiBr6 crystal.

Geometry as POSCAR:
```
Cs2CoSiBr6
1.0
7.581 0.000 0.000
0.000 7.581 0.000
3.791 3.791 5.344
Cs Si Co Br
2 1 1 6
Direct
0.750 0.250 0.500 Cs
0.250 0.750 0.500 Cs
0.500 0.500 0.000 Si
0.000 0.000 0.000 Co
0.246 0.246 0.509 Br
0.754 0.754 0.491 Br
0.246 0.246 0.000 Br
0.754 0.754 0.000 Br
0.754 0.246 0.000 Br
0.246 0.754 0.000 Br
```

Values from the calculation:
Calculated volume ... 30.7 A^3/atom
Final energy ... -3.304 eV per atom
Space-group type ... I4/mmm (139)
Formation energy without anion corrections ... -0.88 eV/atom
Total magnetic moment ... 2.43 Bohr magnetons per cell

Record 11
Density functional theory data (PBE-GGA) for a relaxed CsSmCo2Br8 crystal.

Geometry as POSCAR:
```
CsSmCo2Br8
1.0
-3.528 5.924 -0.310
-6.172 -0.589 3.033
2.983 3.690 9.546
Cs Sm Co Br
1 1 2 8
Direct
0.000 0.000 0.500 Cs
0.000 0.000 0.000 Sm
0.612 0.612 0.205 Co
0.388 0.388 0.795 Co
0.766 0.273 0.800 Br
0.748 0.748 0.010 Br
0.686 0.686 0.399 Br
0.314 0.314 0.601 Br
0.252 0.252 0.990 Br
0.273 0.766 0.800 Br
0.727 0.234 0.200 Br
0.234 0.727 0.200 Br
```

Values from the calculation:
Calculated volume ... 39.0 A^3/atom
Final energy ... -3.809 eV per atom
Space-group type ... C2/m (12)
Formation energy without anion corrections ... -1.04 eV/atom
Total magnetic moment ... 6.00 Bohr magnetons per cell

Record 12
Density functional theory data (PBE-GGA) for a relaxed CsCo2SnBr8 crystal.

Geometry as POSCAR:
```
CsCo2SnBr8
1.0
6.941 0.000 0.000
3.471 6.011 0.000
3.471 2.004 10.265
Cs Co Sn Br
1 2 1 8
Direct
0.500 0.500 0.500 Cs
0.252 0.252 0.245 Co
0.748 0.748 0.755 Co
0.000 0.000 0.000 Sn
0.176 0.176 0.472 Br
0.594 0.289 0.171 Br
0.824 0.824 0.528 Br
0.946 0.594 0.171 Br
0.054 0.406 0.829 Br
0.289 0.946 0.171 Br
0.711 0.054 0.829 Br
0.406 0.711 0.829 Br
```

Values from the calculation:
Calculated volume ... 35.7 A^3/atom
Final energy ... -3.382 eV per atom
Space-group type ... R-3 (148)
Formation energy without anion corrections ... -0.68 eV/atom
Total magnetic moment ... 7.05 Bohr magnetons per cell

Record 13
Density functional theory data (PBE-GGA) for a relaxed CsSrCo2Br8 crystal.

Geometry as POSCAR:
```
CsSrCo2Br8
1.0
-1.074 6.794 -1.481
-4.692 1.830 -4.913
-9.311 3.278 5.076
Cs Sr Co Br
1 1 2 8
Direct
0.500 0.500 0.500 Cs
0.000 0.000 0.000 Sr
0.250 0.250 0.251 Co
0.750 0.750 0.749 Co
0.175 0.175 0.476 Br
0.584 0.294 0.178 Br
0.825 0.825 0.524 Br
0.945 0.584 0.178 Br
0.055 0.416 0.822 Br
0.294 0.945 0.178 Br
0.706 0.055 0.822 Br
0.416 0.706 0.822 Br
```

Values from the calculation:
Calculated volume ... 36.9 A^3/atom
Final energy ... -3.514 eV per atom
Space-group type ... R-3 (148)
Formation energy without anion corrections ... -1.00 eV/atom
Total magnetic moment ... 7.00 Bohr magnetons per cell

Record 14
Density functional theory data (PBE-GGA) for a relaxed Cs2TaCoBr crystal.

Geometry as POSCAR:
```
Cs2TaCoBr
1.0
7.157 0.000 0.000
0.000 5.026 0.000
0.000 0.000 7.157
Cs Co Br Ta
2 1 1 1
Direct
0.000 0.000 0.500 Cs
0.500 0.000 0.000 Cs
0.500 0.500 0.500 Co
0.000 0.000 0.000 Br
0.000 0.500 0.000 Ta
```

Values from the calculation:
Calculated volume ... 51.5 A^3/atom
Final energy ... -3.270 eV per atom
Space-group type ... P4/mmm (123)
Formation energy without anion corrections ... 1.20 eV/atom
Total magnetic moment ... 5.36 Bohr magnetons per cell

Record 15
Density functional theory data (PBE-GGA) for a relaxed Cs2TaCoBr6 crystal.

Geometry as POSCAR:
```
Cs2TaCoBr6
1.0
-3.920 -2.106 5.645
2.169 -6.777 -1.021
3.976 -3.451 6.050
Cs Co Br Ta
2 1 6 1
Direct
0.750 0.250 0.500 Cs
0.250 0.750 0.500 Cs
0.500 0.500 0.000 Co
0.213 0.213 0.573 Br
0.787 0.787 0.427 Br
0.257 0.257 0.000 Br
0.743 0.743 0.000 Br
0.743 0.257 0.000 Br
0.257 0.743 0.000 Br
0.000 0.000 0.000 Ta
```

Values from the calculation:
Calculated volume ... 32.1 A^3/atom
Final energy ... -3.843 eV per atom
Space-group type ... I4/mmm (139)
Formation energy without anion corrections ... -0.77 eV/atom
Total magnetic moment ... 0.00 Bohr magnetons per cell

Record 16
Density functional theory data (PBE-GGA) for a relaxed CsCo2TeBr crystal.

Geometry as POSCAR:
```
CsCo2TeBr
1.0
-3.199 -2.311 -2.911
4.712 0.306 -5.421
1.866 -4.321 1.379
Cs Te Co Br
1 1 2 1
Direct
0.000 0.000 0.000 Cs
0.000 0.500 0.000 Te
0.000 0.000 0.500 Co
0.500 0.000 0.000 Co
0.500 0.500 0.500 Br
```

Values from the calculation:
Calculated volume ... 34.6 A^3/atom
Final energy ... -2.089 eV per atom
Space-group type ... P4/mmm (123)
Formation energy without anion corrections ... 1.89 eV/atom
Total magnetic moment ... 2.84 Bohr magnetons per cell

Record 17
Density functional theory data (PBE-GGA) for a relaxed Cs2TlCoBr6 crystal.

Geometry as POSCAR:
```
Cs2TlCoBr6
1.0
-7.213 2.736 1.660
-5.379 -4.773 3.248
-2.189 1.053 7.508
Cs Tl Co Br
2 1 1 6
Direct
0.750 0.750 0.750 Cs
0.250 0.250 0.250 Cs
0.500 0.500 0.500 Tl
0.000 0.000 0.000 Co
0.219 0.781 0.781 Br
0.219 0.781 0.219 Br
0.219 0.219 0.781 Br
0.781 0.781 0.219 Br
0.781 0.219 0.219 Br
0.781 0.219 0.781 Br
```

Values from the calculation:
Calculated volume ... 34.7 A^3/atom
Final energy ... -3.132 eV per atom
Space-group type ... Fm-3m (225)
Formation energy without anion corrections ... -1.01 eV/atom
Total magnetic moment ... 0.16 Bohr magnetons per cell

Record 18
Density functional theory data (PBE-GGA) for a relaxed CsTlCo2Br6 crystal.

Geometry as POSCAR:
```
CsTlCo2Br6
1.0
10.123 0.698 0.933
-0.547 10.132 0.933
-1.738 -1.965 7.112
Cs Tl Co Br
2 2 4 12
Direct
0.187 0.813 0.250 Cs
0.813 0.187 0.750 Cs
0.609 0.391 0.250 Tl
0.391 0.609 0.750 Tl
0.292 0.136 0.757 Co
0.864 0.708 0.743 Co
0.708 0.864 0.243 Co
0.136 0.292 0.257 Co
0.926 0.390 0.185 Br
0.610 0.074 0.315 Br
0.074 0.610 0.815 Br
0.390 0.926 0.685 Br
0.179 0.116 0.016 Br
0.884 0.821 0.484 Br
0.821 0.884 0.984 Br
0.116 0.179 0.516 Br
0.302 0.460 0.324 Br
0.540 0.698 0.176 Br
0.698 0.540 0.676 Br
0.460 0.302 0.824 Br
```

Values from the calculation:
Calculated volume ... 38.4 A^3/atom
Final energy ... -3.459 eV per atom
Space-group type ... C2/c (15)
Formation energy without anion corrections ... -0.71 eV/atom
Total magnetic moment ... 12.00 Bohr magnetons per cell

Record 19
Density functional theory data (PBE-GGA) for a relaxed Cs2Tl2CoBr6 crystal.

Geometry as POSCAR:
```
Cs2Tl2CoBr6
1.0
8.386 0.293 0.245
-3.890 7.435 0.245
-1.448 -2.489 7.063
Cs Tl Co Br
2 2 1 6
Direct
0.343 0.657 0.500 Cs
0.657 0.343 0.500 Cs
0.836 0.164 0.000 Tl
0.164 0.836 0.000 Tl
0.000 0.000 0.500 Co
0.828 0.828 0.730 Br
0.059 0.319 0.706 Br
0.172 0.172 0.270 Br
0.319 0.059 0.706 Br
0.941 0.681 0.294 Br
0.681 0.941 0.294 Br
```

Values from the calculation:
Calculated volume ... 41.7 A^3/atom
Final energy ... -3.119 eV per atom
Space-group type ... C2/m (12)
Formation energy without anion corrections ... -0.98 eV/atom
Total magnetic moment ... 3.00 Bohr magnetons per cell

Record 20
Density functional theory data (PBE-GGA) for a relaxed CsTl2CoBr6 crystal.

Geometry as POSCAR:
```
CsTl2CoBr6
1.0
7.688 0.000 0.046
0.000 8.973 0.000
0.167 0.000 10.292
Cs Tl Co Br
2 4 2 12
Direct
0.500 0.000 0.000 Cs
0.000 0.500 0.500 Cs
0.005 0.990 0.266 Tl
0.505 0.510 0.766 Tl
0.995 0.010 0.734 Tl
0.495 0.490 0.234 Tl
0.500 0.000 0.500 Co
0.000 0.500 0.000 Co
0.265 0.648 0.005 Br
0.765 0.852 0.505 Br
0.735 0.352 0.995 Br
0.235 0.148 0.495 Br
0.378 0.831 0.339 Br
0.878 0.669 0.839 Br
0.622 0.169 0.661 Br
0.122 0.331 0.161 Br
0.871 0.652 0.173 Br
0.371 0.848 0.673 Br
0.129 0.348 0.827 Br
0.629 0.152 0.327 Br
```

Values from the calculation:
Calculated volume ... 35.5 A^3/atom
Final energy ... -3.061 eV per atom
Space-group type ... P2_1/c (14)
Formation energy without anion corrections ... -0.79 eV/atom
Total magnetic moment ... 0.01 Bohr magnetons per cell

Record 21
Density functional theory data (PBE-GGA) for a relaxed CsTmCo2Br8 crystal.

Geometry as POSCAR:
```
CsTmCo2Br8
1.0
6.815 -0.352 0.196
2.831 6.209 0.196
0.904 0.549 10.511
Cs Tm Co Br
1 1 2 8
Direct
0.000 0.000 0.500 Cs
0.000 0.000 0.000 Tm
0.614 0.614 0.200 Co
0.386 0.386 0.800 Co
0.769 0.270 0.806 Br
0.755 0.755 0.006 Br
0.685 0.685 0.398 Br
0.315 0.315 0.602 Br
0.245 0.245 0.994 Br
0.270 0.769 0.806 Br
0.730 0.231 0.194 Br
0.231 0.730 0.194 Br
```

Values from the calculation:
Calculated volume ... 37.8 A^3/atom
Final energy ... -3.783 eV per atom
Space-group type ... C2/m (12)
Formation energy without anion corrections ... -1.04 eV/atom
Total magnetic moment ... 6.00 Bohr magnetons per cell